The following is a PBE calculation of a geometry-optimized RhAuC structure, from Alexandria.

```
data_RhAuC
_chemical_formula_sum 'Rh2 Au2 C2'
_cell_length_a 2.784
_cell_length_b 2.829
_cell_length_c 10.681
_cell_angle_alpha 90.00
_cell_angle_beta 90.00
_cell_angle_gamma 90.00
_space_group_name_H-M_alt 'A m m 2'
_space_group_IT_number 38
_space_group_name_Hall 'A 2 -2'
loop_
_atom_site_label
_atom_site_type_symbol
_atom_site_fract_x
_atom_site_fract_y
_atom_site_fract_z
Rh1 Rh 0.000 0.000 0.000
Au1 Au 0.500 0.000 0.762
C1 C 0.500 0.000 0.565
```

Spin magnetization   0.0 μB/cell
Formation energy   0.71 eV/atom
Polymorph energy (0 for the lowest one)   209 meV/atom

***

The following is a PBE calculation of a geometry-optimized AgOsS3 structure, from Alexandria.

```
data_AgOsS3
_chemical_formula_sum 'Ag1 Os1 S3'
_cell_length_a 4.658
_cell_length_b 4.658
_cell_length_c 4.658
_cell_angle_alpha 90.00
_cell_angle_beta 90.00
_cell_angle_gamma 90.00
_space_group_name_H-M_alt 'P m -3 m'
_space_group_IT_number 221
_space_group_name_Hall '-P 4 2 3'
loop_
_atom_site_label
_atom_site_type_symbol
_atom_site_fract_x
_atom_site_fract_y
_atom_site_fract_z
Ag1 Ag 0.000 0.000 0.000
Os1 Os 0.500 0.500 0.500
S1 S 0.000 0.500 0.500
```

Spin magnetization   0.0 μB/cell
Formation energy (no corrections)   617 meV per atom
Polymorph energy (0 for the lowest one)   0 meV/atom

***

The following is a PBE calculation of a geometry-optimized YTmBeHg structure, from Alexandria.

```
data_YTmBeHg
_chemical_formula_sum 'Y4 Tm4 Be4 Hg4'
_cell_length_a 7.160
_cell_length_b 7.160
_cell_length_c 7.160
_cell_angle_alpha 90.00
_cell_angle_beta 90.00
_cell_angle_gamma 90.00
_space_group_name_H-M_alt 'F -4 3 m'
_space_group_IT_number 216
_space_group_name_Hall 'F -4 2 3'
loop_
_atom_site_label
_atom_site_type_symbol
_atom_site_fract_x
_atom_site_fract_y
_atom_site_fract_z
Y1 Y 0.000 0.000 0.000
Tm1 Tm 0.000 0.000 0.500
Be1 Be 0.250 0.250 0.250
Hg1 Hg 0.250 0.250 0.750
```

Spin magnetization   0.0 μB/cell
Formation energy   -0.14 eV/atom

***

The following is a PBE calculation of a geometry-optimized CoCuBr2 structure, from Alexandria.

```
data_CoCuBr2
_chemical_formula_sum 'Co1 Cu1 Br2'
_cell_length_a 3.764
_cell_length_b 3.768
_cell_length_c 6.808
_cell_angle_alpha 90.00
_cell_angle_beta 91.44
_cell_angle_gamma 90.00
_space_group_name_H-M_alt 'P 1 m 1'
_space_group_IT_number 6
_space_group_name_Hall 'P -2y'
loop_
_atom_site_label
_atom_site_type_symbol
_atom_site_fract_x
_atom_site_fract_y
_atom_site_fract_z
Co1 Co 0.000 0.000 0.000
Cu1 Cu 0.467 0.500 0.991
Br1 Br 0.467 0.000 0.749
Br2 Br 0.937 0.500 0.247
```

Spin magnetization   2.0 μB/cell
Formation energy (no corrections)   37 meV per atom
Polymorph energy (0 for the lowest one)   69 meV/atom

***

The following is a PBE calculation of a geometry-optimized Er2NiSn structure, from Alexandria.

```
data_Er2NiSn
_chemical_formula_sum 'Er2 Ni1 Sn1'
_cell_length_a 3.446
_cell_length_b 3.446
_cell_length_c 7.543
_cell_angle_alpha 90.00
_cell_angle_beta 90.00
_cell_angle_gamma 90.00
_space_group_name_H-M_alt 'P 4/m m m'
_space_group_IT_number 123
_space_group_name_Hall '-P 4 2'
loop_
_atom_site_label
_atom_site_type_symbol
_atom_site_fract_x
_atom_site_fract_y
_atom_site_fract_z
Er1 Er 0.000 0.000 0.213
Ni1 Ni 0.500 0.500 0.000
Sn1 Sn 0.500 0.500 0.500
```

Spin magnetization   0.0 μB/cell
Formation energy   -0.52 eV/atom
Polymorph energy (0 for the lowest one)   58 meV/atom

***

The following is a PBE calculation of a geometry-optimized Pm8Ir2Pb structure, from Alexandria.

```
data_Pm8Ir2Pb
_chemical_formula_sum 'Pm8 Ir2 Pb1'
_cell_length_a 7.086
_cell_length_b 7.086
_cell_length_c 7.181
_cell_angle_alpha 90.00
_cell_angle_beta 90.00
_cell_angle_gamma 90.00
_space_group_name_H-M_alt 'P 4/m m m'
_space_group_IT_number 123
_space_group_name_Hall '-P 4 2'
loop_
_atom_site_label
_atom_site_type_symbol
_atom_site_fract_x
_atom_site_fract_y
_atom_site_fract_z
Pm1 Pm 0.245 0.245 0.231
Ir1 Ir 0.000 0.500 0.000
Pb1 Pb 0.500 0.500 0.500
```

Spin magnetization   0.0 μB/cell
Formation energy   -0.22 eV/atom
Polymorph energy (0 for the lowest one)   150 meV/atom

***

The following is a PBE calculation of a geometry-optimized KHoCuO3 structure, from Alexandria.

```
data_KHoCuO3
_chemical_formula_sum 'K2 Ho2 Cu2 O6'
_cell_length_a 7.275
_cell_length_b 3.567
_cell_length_c 9.218
_cell_angle_alpha 90.00
_cell_angle_beta 111.05
_cell_angle_gamma 90.00
_space_group_name_H-M_alt 'P 1 21/m 1'
_space_group_IT_number 11
_space_group_name_Hall '-P 2yb'
loop_
_atom_site_label
_atom_site_type_symbol
_atom_site_fract_x
_atom_site_fract_y
_atom_site_fract_z
K1 K 0.197 0.250 0.171
Ho1 Ho 0.326 0.750 0.860
Cu1 Cu 0.028 0.250 0.623
O1 O 0.113 0.250 0.848
O2 O 0.125 0.750 0.600
O3 O 0.465 0.750 0.118
```

Spin magnetization   2.1 μB/cell
Formation energy (no corrections)   -1978 meV per atom

***

The following is a PBE calculation of a geometry-optimized SrGdCdPd structure, from Alexandria.

```
data_SrGdCdPd
_chemical_formula_sum 'Sr4 Gd4 Cd4 Pd4'
_cell_length_a 7.510
_cell_length_b 7.510
_cell_length_c 7.510
_cell_angle_alpha 90.00
_cell_angle_beta 90.00
_cell_angle_gamma 90.00
_space_group_name_H-M_alt 'F -4 3 m'
_space_group_IT_number 216
_space_group_name_Hall 'F -4 2 3'
loop_
_atom_site_label
_atom_site_type_symbol
_atom_site_fract_x
_atom_site_fract_y
_atom_site_fract_z
Sr1 Sr 0.000 0.000 0.000
Gd1 Gd 0.000 0.000 0.500
Cd1 Cd 0.250 0.250 0.750
Pd1 Pd 0.250 0.250 0.250
```

Spin magnetization   29.1 μB/cell
Formation energy   -0.40 eV/atom

***

> Among the records above, which one has the highest spin magnetization?

SrGdCdPd